Record 1
Computed, not measured: an optimized crystal structure of ZnB2Rh5 at the PBE level of DFT.

Structure (POSCAR):
```
ZnB2Rh5
1.0
6.114 0.000 0.000
0.000 6.114 0.000
-3.057 -3.057 5.225
Rh B Zn
10 4 2
Direct
0.478 0.288 0.266
0.522 0.712 0.734
0.212 0.022 0.734
0.712 0.212 0.734
0.978 0.478 0.266
0.000 0.000 0.000
0.288 0.788 0.266
0.500 0.500 0.000
0.022 0.522 0.734
0.788 0.978 0.266
0.856 0.644 0.000
0.144 0.356 0.000
0.644 0.144 0.000
0.356 0.856 0.000
0.750 0.750 0.500
0.250 0.250 0.500
```

Output
Space group   No. 140
Energy relative to the elements   -0.211 eV/atom
Uncorrected energy   -6.63 eV/atom
Energy above the most stable polymorph in this dataset   93 meV/atom

Record 2
Computed, not measured: an optimized crystal structure of PmBrCl3 at the PBE level of DFT.

Structure (POSCAR):
```
PmBrCl3
1.0
8.602 0.000 0.000
0.000 7.589 -3.858
0.000 0.323 11.342
Cl Pm Br
12 4 4
Direct
0.549 0.845 0.053
0.041 0.122 0.915
0.256 0.218 0.264
0.451 0.155 0.947
0.049 0.655 0.447
0.541 0.378 0.585
0.459 0.622 0.415
0.244 0.718 0.764
0.744 0.782 0.736
0.951 0.345 0.553
0.756 0.282 0.236
0.959 0.878 0.085
0.739 0.048 0.980
0.761 0.548 0.480
0.239 0.452 0.520
0.261 0.952 0.020
0.307 0.158 0.586
0.193 0.658 0.086
0.807 0.342 0.914
0.693 0.842 0.414
```

Output
Space group   No. 14
Uncorrected energy   -4.01 eV/atom
E_form (uncorrected)   -1618.7 meV per atom
Energy above the most stable polymorph in this dataset   74 meV/atom

Record 3
Computed, not measured: an optimized crystal structure of Y2Ho2Zn at the PBE level of DFT.

Structure (POSCAR):
```
Y2Ho2Zn
1.0
-1.864 1.575 -2.582
-2.988 -0.487 1.860
3.903 9.340 5.322
Ho Y Zn
2 2 1
Direct
0.804 0.804 0.609
0.196 0.196 0.391
0.580 0.580 0.160
0.420 0.420 0.840
0.000 0.000 0.000
```

Output
Space group   No. 139
Energy relative to the elements   -0.125 eV/atom
Uncorrected energy   -4.80 eV/atom
Energy above the most stable polymorph in this dataset   0 meV/atom

Record 4
Computed, not measured: an optimized crystal structure of Cs2NpPbO6 at the PBE level of DFT.

Structure (POSCAR):
```
Cs2NpPbO6
1.0
6.384 0.000 0.001
0.000 6.384 0.000
-3.192 -3.192 4.510
O Np Cs Pb
6 1 2 1
Direct
0.776 0.776 0.000
0.224 0.225 0.449
0.224 0.776 0.000
0.224 0.225 0.000
0.775 0.776 0.551
0.776 0.225 0.000
0.000 0.000 0.000
0.750 0.250 0.500
0.250 0.750 0.500
0.500 0.500 0.000
```

Output
Space group   No. 225
Uncorrected energy   -6.74 eV/atom
E_form (uncorrected)   -1925.8 meV per atom

Record 5
Computed, not measured: an optimized crystal structure of Rb3AlOs at the PBE level of DFT.

Structure (POSCAR):
```
Rb3AlOs
1.0
6.454 0.000 0.000
0.000 6.454 0.000
0.000 0.000 6.454
Rb Os Al
3 1 1
Direct
0.000 0.500 0.000
0.000 0.000 0.500
0.500 0.000 0.000
0.000 0.000 0.000
0.500 0.500 0.500
```

Output
Space group   No. 221
Energy relative to the elements   1.467 eV/atom
Uncorrected energy   -2.11 eV/atom
Energy above the most stable polymorph in this dataset   0 meV/atom

Record 6
Computed, not measured: an optimized crystal structure of Li2YMg at the PBE level of DFT.

Structure (POSCAR):
```
Li2YMg
1.0
-1.803 2.444 1.001
0.865 -1.706 2.563
8.211 5.652 0.992
Li Y Mg
2 1 1
Direct
0.000 0.000 0.483
0.000 0.000 0.017
0.500 0.500 0.750
0.500 0.500 0.250
```

Output
Space group   No. 65
Energy relative to the elements   0.098 eV/atom
Uncorrected energy   -2.87 eV/atom

Record 7
Computed, not measured: an optimized crystal structure of La2Pm8Zn at the PBE level of DFT.

Structure (POSCAR):
```
La2Pm8Zn
1.0
-0.545 -5.600 -0.662
6.752 -0.269 -3.276
1.391 1.639 9.229
La Pm Zn
2 8 1
Direct
0.184 0.671 0.368
0.816 0.329 0.632
0.015 0.779 0.029
0.600 0.421 0.200
0.816 0.769 0.632
0.184 0.231 0.368
0.656 0.941 0.313
0.400 0.579 0.800
0.344 0.059 0.687
0.985 0.221 0.971
0.500 0.000 0.000
```

Output
Space group   No. 12
Energy relative to the elements   0.054 eV/atom
Uncorrected energy   -4.41 eV/atom

Record 8
Computed, not measured: an optimized crystal structure of TaCo2Rh at the PBE level of DFT.

Structure (POSCAR):
```
TaCo2Rh
1.0
4.599 -0.012 -0.016
1.541 4.333 0.016
-3.061 -2.173 2.656
Co Rh Ta
2 1 1
Direct
0.500 0.500 0.000
0.000 0.000 0.000
0.750 0.250 0.500
0.250 0.750 0.500
```

Output
Space group   No. 139
Energy relative to the elements   -0.246 eV/atom
Uncorrected energy   -8.60 eV/atom
Energy above the most stable polymorph in this dataset   91 meV/atom

Record 9
Computed, not measured: an optimized crystal structure of Ac2LaNd2Ho at the PBE level of DFT.

Structure (POSCAR):
```
Ac2LaNd2Ho
1.0
-5.385 2.289 -1.142
-3.107 -6.536 1.554
-0.914 2.786 9.890
Nd La Ac Ho
4 2 4 2
Direct
0.500 0.257 0.342
0.000 0.758 0.173
0.000 0.258 0.827
0.500 0.757 0.658
0.000 0.507 0.500
0.000 0.007 0.500
0.500 0.508 0.000
0.500 0.008 0.000
0.000 0.758 0.828
0.000 0.258 0.172
0.500 0.257 0.665
0.500 0.757 0.335
```

Output
Space group   No. 26
Energy relative to the elements   0.073 eV/atom
Uncorrected energy   -4.47 eV/atom

Record 10
Computed, not measured: an optimized crystal structure of CuNiS4 at the PBE level of DFT.

Structure (POSCAR):
```
CuNiS4
1.0
-9.605 0.776 -1.317
0.648 -0.892 -5.229
3.925 -5.160 4.317
S Cu Ni
8 2 2
Direct
0.391 0.310 0.372
0.018 0.190 0.628
0.722 0.203 0.148
0.609 0.690 0.628
0.573 0.296 0.851
0.982 0.810 0.372
0.278 0.797 0.852
0.427 0.704 0.149
0.284 0.250 0.000
0.716 0.750 0.000
0.500 0.000 0.500
0.000 0.500 0.500
```

Output
Space group   No. 2
Uncorrected energy   -4.54 eV/atom
E_form (uncorrected)   -138.4 meV per atom

Record 11
Computed, not measured: an optimized crystal structure of YTeRh2 at the PBE level of DFT.

Structure (POSCAR):
```
YTeRh2
1.0
-4.055 1.301 1.265
-1.141 -3.674 0.121
1.248 -0.248 4.256
Y Rh Te
1 2 1
Direct
0.500 0.626 0.875
0.000 0.126 0.875
0.500 0.125 0.375
0.000 0.624 0.375
```

Output
Space group   No. 99
Uncorrected energy   -6.68 eV/atom
E_form (uncorrected)   -603.8 meV per atom
Energy above the most stable polymorph in this dataset   11 meV/atom

Record 12
Computed, not measured: an optimized crystal structure of ScCr2Fe at the PBE level of DFT.

Structure (POSCAR):
```
ScCr2Fe
1.0
4.963 -0.013 -0.015
-2.485 4.296 -0.015
0.432 0.747 2.473
Fe Cr Sc
1 2 1
Direct
0.500 0.000 0.500
0.500 0.500 0.000
0.000 0.000 0.000
0.000 0.500 0.500
```

Output
Space group   No. 12
Energy relative to the elements   0.327 eV/atom
Uncorrected energy   -8.18 eV/atom
Energy above the most stable polymorph in this dataset   174 meV/atom

What did the fourth record say?
Computed, not measured: an optimized crystal structure of Cs2NpPbO6 at the PBE level of DFT.

Structure (POSCAR):
```
Cs2NpPbO6
1.0
6.384 0.000 0.001
0.000 6.384 0.000
-3.192 -3.192 4.510
O Np Cs Pb
6 1 2 1
Direct
0.776 0.776 0.000
0.224 0.225 0.449
0.224 0.776 0.000
0.224 0.225 0.000
0.775 0.776 0.551
0.776 0.225 0.000
0.000 0.000 0.000
0.750 0.250 0.500
0.250 0.750 0.500
0.500 0.500 0.000
```

Output
Space group   No. 225
Uncorrected energy   -6.74 eV/atom
E_form (uncorrected)   -1925.8 meV per atom